Here is a PBEsol-optimized structure of YSnGe from the Alexandria database. Energies are from SCAN.

a = 4.020 Å, b = 4.239 Å, c = 8.313 Å
α = 75.23°, β = 90.00°, γ = 90.00°
Fractional positions:
Sn: 0.750 0.245 0.509
Y: 0.250 0.405 0.189
Sn: 0.250 0.755 0.491
Ge: 0.750 0.947 0.107
Ge: 0.250 0.053 0.893
Y: 0.750 0.595 0.811

Results
Total energy, hartree per atom: -1.0414
Energy relative to the elements, eV/atom: -0.720

Here is a PBEsol-optimized structure of ZnSnGe3 from the Alexandria database. Energies are from SCAN.

a = 5.227 Å, b = 5.227 Å, c = 5.227 Å
α = 90.00°, β = 90.00°, γ = 90.00°
Fractional positions:
Zn: 0.500 0.500 0.500
Ge: 0.500 0.000 0.000
Sn: 0.000 0.000 0.000
Ge: 0.000 0.000 0.500
Ge: 0.000 0.500 0.000

Results
Total energy, hartree per atom: -0.7414
Energy relative to the elements, eV/atom: 1.164

Here is a PBEsol-optimized structure of Sr2Ge from the Alexandria database. Energies are from SCAN.

a = 5.112 Å, b = 7.998 Å, c = 9.521 Å
α = 90.00°, β = 90.00°, γ = 90.00°
Fractional positions:
Sr: 0.750 0.847 0.578
Sr: 0.750 0.482 0.324
Sr: 0.250 0.653 0.078
Sr: 0.750 0.982 0.176
Ge: 0.250 0.252 0.102
Sr: 0.250 0.153 0.422
Ge: 0.750 0.748 0.898
Sr: 0.250 0.018 0.824
Ge: 0.250 0.752 0.398
Sr: 0.750 0.347 0.922
Ge: 0.750 0.248 0.602
Sr: 0.250 0.518 0.676

Results
Total energy, hartree per atom: -0.8015
Energy relative to the elements, eV/atom: -0.596

Here is a PBEsol-optimized structure of SrGe from the Alexandria database. Energies are from SCAN.

a = 4.138 Å, b = 4.760 Å, c = 6.147 Å
α = 67.22°, β = 90.00°, γ = 90.00°
Fractional positions:
Sr: 0.750 0.862 0.276
Sr: 0.250 0.138 0.724
Ge: 0.250 0.430 0.141
Ge: 0.750 0.570 0.859

Results
Total energy, hartree per atom: -0.7853
Energy relative to the elements, eV/atom: -0.688